GaCoBi2O6: relaxed, PBE with a Hubbard U.

- Crystal system: trigonal
- Uncorrected energy: -5.80 eV per atom

Unit cell a=5.527 b=5.527 c=5.527 alpha=59.89 beta=59.89 gamma=59.89
Element x y z (fractional)
Ga  0.000  0.000  0.000
Co  0.493  0.493  0.493
Bi  0.269  0.269  0.269
Bi  0.772  0.772  0.772
O  0.179  0.311  0.715
O  0.222  0.804  0.673
O  0.311  0.715  0.179
O  0.673  0.222  0.804
O  0.715  0.179  0.311
O  0.804  0.673  0.222